Entry 1:
Compound: Mn3TcAu
Source: the Alexandria database
Functional: PBE-GGA
Structure: relaxed

Values from the calculation:
The density of states at the Fermi level comes out at 6.213 states/eV/f.u. As for the polymorph energy (0 for the lowest one): 0 meV per atom. The value obtained for the formation energy is 1.167 eV/atom.

abc: 4.5472 4.5472 4.5472
angles: 90.00 90.00 90.00
Last column: nearest neighbours and their distance in Å.
Positions (direct):
Mn 0.0000 0.0000 0.5000  2 Tc 2.27
Mn 0.0000 0.5000 0.0000  2 Tc 2.27
Mn 0.5000 0.0000 0.0000  2 Tc 2.27
Tc 0.0000 0.0000 0.0000  6 Mn 2.27
Au 0.5000 0.5000 0.5000  12 Mn 3.22

***

Entry 2:
Compound: SrZrCoH2
Source: the Alexandria database
Functional: PBE-GGA
Structure: relaxed

Values from the calculation:
The density of states at the Fermi level comes out at 3.210 states/eV/f.u.

abc: 4.0247 4.0247 5.5853
angles: 90.00 90.00 90.00
Last column: nearest neighbours and their distance in Å.
Positions (direct):
Sr 0.0000 0.0000 0.0000  4 H 2.01
Zr 0.5000 0.5000 0.5000  4 Co 2.85
Co 0.0000 0.0000 0.5000  2 Sr 2.79, 4 Zr 2.85
H 0.0000 0.5000 0.0000  2 Sr 2.01
H 0.5000 0.0000 0.0000  2 Sr 2.01

***

Entry 3:
Compound: Tb3Y2Zn3
Source: the Alexandria database
Functional: PBE-GGA
Structure: relaxed

Values from the calculation:
The density of states at the Fermi level comes out at 10.267 states/eV/f.u. The value obtained for the formation energy is -0.244 eV/atom.

abc: 3.6229 5.2004 21.4951
angles: 90.00 90.00 90.00
Last column: nearest neighbours and their distance in Å.
Positions (direct):
Tb 0.0000 0.0000 0.0000  8 Zn 3.07-3.17
Tb 0.0000 0.5000 0.1176  6 Zn 3.11-3.17
Tb 0.0000 0.5000 0.8824  6 Zn 3.11-3.17
Tb 0.5000 0.0000 0.3824  6 Zn 3.11-3.17
Tb 0.5000 0.0000 0.6176  6 Zn 3.11-3.17
Tb 0.5000 0.5000 0.5000  8 Zn 3.07-3.17
Y 0.0000 0.0000 0.2283  2 Zn 3.03, 4 Y 3.30
Y 0.0000 0.0000 0.7717  2 Zn 3.03, 4 Y 3.30
Y 0.5000 0.5000 0.2717  2 Zn 3.03, 4 Y 3.30
Y 0.5000 0.5000 0.7283  2 Zn 3.03, 4 Y 3.30
Zn 0.0000 0.0000 0.5000  8 Tb 3.11-3.17
Zn 0.0000 0.5000 0.3848  2 Y 3.03, 6 Tb 3.07-3.17
Zn 0.0000 0.5000 0.6152  2 Y 3.03, 6 Tb 3.07-3.17
Zn 0.5000 0.0000 0.1152  2 Y 3.03, 6 Tb 3.07-3.17
Zn 0.5000 0.0000 0.8848  2 Y 3.03, 6 Tb 3.07-3.17
Zn 0.5000 0.5000 0.0000  8 Tb 3.11-3.17

***

Entry 4:
Compound: Y4GeS2O
Source: the Alexandria database
Functional: PBE-GGA
Structure: relaxed

Values from the calculation:
The density of states at the Fermi level comes out at 2.144 states/eV/f.u. As for the uncorrected formation energy: -1.888 eV per atom.

abc: 6.7378 5.5985 6.7299
angles: 65.51 49.13 65.36
Last column: nearest neighbours and their distance in Å.
Positions (direct):
Y 0.0062 0.4515 0.9938  1 O 2.26
Y 0.2398 0.7602 0.2398  1 O 2.64, 4 S 2.80-2.81, 1 Ge 2.84
Y 0.4515 0.0062 0.5485  1 O 2.26
Y 0.7602 0.2398 0.7602  1 O 2.64, 4 S 2.80-2.81, 1 Ge 2.84
Ge 0.5065 0.5065 0.4935  6 Y 2.81-2.84
S 0.2493 0.2493 0.2507  6 Y 2.74-2.81
S 0.7493 0.7493 0.7507  6 Y 2.74-2.81
O 0.0491 0.0491 0.9510  2 Y 2.26

***

no.,VASP energy (eV per atom)
1,-7.064
2,-4.068
3,-4.074
4,-7.349